Here is Co3SiGe2 after structural relaxation from Alexandria. Energies are from PBEsol.

a b c (Å): 4.5033 4.5068 13.5144
angles (deg): 90.38 90.19 90.20
Last column: nearest neighbours and their distance in Å.
Fractional positions:
1 Ge 0.6565 0.3412 0.7204  7 Co 2.35-2.56
2 Ge 0.6591 0.3408 0.3845  7 Co 2.35-2.49
3 Co 0.3591 0.6455 0.6200  2 Si 2.33-2.53, 5 Ge 2.35-2.51
4 Ge 0.8399 0.6610 0.8869  7 Co 2.34-2.53
5 Co 0.1411 0.3652 0.1215  3 Si 2.31-2.54, 4 Ge 2.34-2.52
6 Co 0.8599 0.8578 0.0523  3 Si 2.33-2.50, 4 Ge 2.37-2.49
7 Si 0.8414 0.6627 0.2183  7 Co 2.31-2.53
8 Co 0.1477 0.3602 0.4517  2 Si 2.33-2.51, 5 Ge 2.35-2.50
9 Co 0.3616 0.6466 0.2838  4 Si 2.34-2.50, 3 Ge 2.36-2.48
10 Ge 0.1604 0.1560 0.6129  7 Co 2.34-2.53
11 Si 0.3394 0.8407 0.7803  7 Co 2.31-2.53
12 Ge 0.1586 0.1567 0.2792  7 Co 2.34-2.50
13 Si 0.3409 0.8390 0.4448  7 Co 2.30-2.53
14 Ge 0.8409 0.6593 0.5512  7 Co 2.34-2.53
15 Si 0.3407 0.8379 0.1159  7 Co 2.31-2.54
16 Co 0.1455 0.3614 0.7870  2 Si 2.33-2.51, 5 Ge 2.35-2.52
17 Ge 0.6551 0.3436 0.0554  7 Co 2.33-2.54
18 Co 0.3571 0.6468 0.9551  2 Si 2.33-2.53, 5 Ge 2.35-2.50
19 Co 0.8607 0.8592 0.7153  2 Si 2.33-2.51, 5 Ge 2.36-2.51
20 Co 0.6367 0.1353 0.5438  1 Si 2.30, 6 Ge 2.34-2.56
21 Co 0.6356 0.1369 0.8798  1 Si 2.31, 6 Ge 2.34-2.54
22 Co 0.6422 0.1360 0.2129  3 Si 2.31-2.53, 4 Ge 2.33-2.49
23 Ge 0.1584 0.1567 0.9484  7 Co 2.35-2.53
24 Co 0.8614 0.8534 0.3785  3 Si 2.32-2.51, 4 Ge 2.34-2.50

Calculated values
Total magnetic moment, μB per formula unit: 0.00
E_form (uncorrected), eV/atom: -0.4280

=====

Here is KSiC2 after structural relaxation from Alexandria. Energies are from PBEsol.

a b c (Å): 4.7472 4.7472 6.4381
angles (deg): 111.63 111.63 90.00
Last column: nearest neighbours and their distance in Å.
Fractional positions:
1 C 0.6250 0.3750 0.7500  2 Si 1.82
2 C 0.1250 0.3750 0.7500  2 Si 1.82
3 Si 0.7500 0.2500 0.5000  4 C 1.82
4 C 0.6250 0.3750 0.2500  2 Si 1.82
5 K 0.2500 0.7500 0.5000  8 C 2.99
6 C 0.6250 0.8750 0.2500  2 Si 1.82
7 Si 0.5000 0.5000 0.0000  4 C 1.82
8 K 0.0000 0.0000 0.0000  8 C 2.99

Calculated values
Total magnetic moment, μB per formula unit: 0.00
E_form (uncorrected), eV/atom: 0.8885

=====

Here is Zr3In after structural relaxation from Alexandria. Energies are from PBEsol.

a b c (Å): 5.1527 5.5510 6.0641
angles (deg): 90.00 90.00 90.00
Last column: nearest neighbours and their distance in Å.
Fractional positions:
1 Zr 0.0000 0.3542 0.5000  4 In 3.03-3.10, 8 Zr 3.12-3.20
2 Zr 0.0000 0.8462 0.7498  8 Zr 3.03-3.20, 4 In 3.12-3.21
3 Zr 0.5000 0.6458 0.0000  4 In 3.03-3.10, 8 Zr 3.12-3.20
4 Zr 0.5000 0.1538 0.2498  8 Zr 3.03-3.20, 4 In 3.12-3.21
5 In 0.5000 0.6632 0.5000  12 Zr 3.03-3.21
6 In 0.0000 0.3368 0.0000  12 Zr 3.03-3.21
7 Zr 0.0000 0.8462 0.2502  8 Zr 3.03-3.20, 4 In 3.12-3.21
8 Zr 0.5000 0.1538 0.7502  8 Zr 3.03-3.20, 4 In 3.12-3.21

Calculated values
Total magnetic moment, μB per formula unit: 0.00
VASP energy, eV/atom: -7.80

=====

Here is Ti2GaNiTe after structural relaxation from Alexandria. Energies are from PBEsol.

a b c (Å): 4.6425 4.6425 5.0754
angles (deg): 90.00 90.00 90.00
Last column: nearest neighbours and their distance in Å.
Fractional positions:
1 Ni 0.5000 0.5000 0.5000  4 Te 3.28, 8 Ti 3.44
2 Ti 0.0000 0.5000 0.0000  2 Ga 2.32
3 Ga 0.0000 0.0000 0.0000  4 Ti 2.32, 2 Te 2.54
4 Te 0.0000 0.0000 0.5000  2 Ga 2.54
5 Ti 0.5000 0.0000 0.0000  2 Ga 2.32

Calculated values
Total magnetic moment, μB per formula unit: 0.01
E_form (uncorrected), eV/atom: 1.0720

=====

Here is Fe2SeBr after structural relaxation from Alexandria. Energies are from PBEsol.

a b c (Å): 3.2975 3.5301 7.0136
angles (deg): 104.58 103.60 90.00
Last column: nearest neighbours and their distance in Å.
Fractional positions:
1 Se 0.5221 0.5221 0.0441  6 Fe 2.42-2.64
2 Br 0.2711 0.7711 0.5422  4 Fe 2.75
3 Fe 0.6711 0.1711 0.3422  2 Fe 2.43, 2 Se 2.64
4 Fe 0.0358 0.0358 0.0715  4 Se 2.42, 2 Fe 2.43

Calculated values
Total magnetic moment, μB per formula unit: 6.21
E_form (uncorrected), eV/atom: 0.1088

=====

Here is ZnRhBr2 after structural relaxation from Alexandria. Energies are from PBEsol.

a b c (Å): 4.6785 4.6785 4.6785
angles (deg): 60.00 60.00 60.00
Last column: nearest neighbours and their distance in Å.
Fractional positions:
1 Rh 0.0000 0.0000 0.0000  8 Br 2.86
2 Br 0.7500 0.7500 0.7500  4 Rh 2.86, 4 Zn 2.86
3 Br 0.2500 0.2500 0.2500  4 Zn 2.86, 4 Rh 2.86
4 Zn 0.5000 0.5000 0.5000  8 Br 2.86

Calculated values
Total magnetic moment, μB per formula unit: 1.22
E_form (uncorrected), eV/atom: 0.3941

=====

Here is TaIn2Os after structural relaxation from Alexandria. Energies are from PBEsol.

a b c (Å): 3.0744 3.0744 8.1567
angles (deg): 90.00 90.00 90.00
Last column: nearest neighbours and their distance in Å.
Fractional positions:
1 In 0.0000 0.0000 0.9682  4 Ta 3.03, 4 In 3.07
2 Os 0.0000 0.0000 0.5286  4 Ta 2.63, 4 In 2.90
3 In 0.5000 0.5000 0.2934  4 Os 2.90, 4 In 3.07
4 Ta 0.5000 0.5000 0.7099  4 Os 2.63

Calculated values
Total magnetic moment, μB per formula unit: 0.00
VASP energy, eV/atom: -7.60

=====

Here is Ba2La2TlCu2O9 after structural relaxation from Alexandria. Energies are from PBEsol.

a b c (Å): 3.7797 3.7797 16.1474
angles (deg): 96.72 96.72 90.00
Last column: nearest neighbours and their distance in Å.
Fractional positions:
1 Ba 0.4167 0.4167 0.8334  9 O 2.65-2.90
2 O 0.2217 0.2217 0.4433  1 Cu 2.29, 1 La 2.35
3 O 0.7783 0.7783 0.5567  1 Cu 2.29, 1 La 2.35
4 O 0.6524 0.1524 0.3049  2 Cu 1.89
5 O 0.3476 0.8476 0.6951  2 Cu 1.89
6 O 0.8476 0.3476 0.6951  2 Cu 1.89
7 Tl 0.0000 0.0000 0.0000  2 O 2.09
8 O 0.9344 0.9344 0.8687  1 Tl 2.09
9 La 0.7045 0.7045 0.4089  5 O 2.35-2.51
10 Cu 0.8502 0.8502 0.7004  4 O 1.89
11 Ba 0.5833 0.5833 0.1666  9 O 2.65-2.90
12 La 0.2955 0.2955 0.5911  5 O 2.35-2.51
13 O 0.5000 0.5000 0.0000  2 Ba 2.65, 4 Tl 2.67
14 O 0.1524 0.6524 0.3049  2 Cu 1.89
15 O 0.0656 0.0656 0.1313  1 Tl 2.09
16 Cu 0.1498 0.1498 0.2996  4 O 1.89

Calculated values
Total magnetic moment, μB per formula unit: 0.00
E_form (uncorrected), eV/atom: -2.0511

=====

Here is Pb4Au3 after structural relaxation from Alexandria. Energies are from PBEsol.

a b c (Å): 5.5512 5.5512 6.2400
angles (deg): 90.00 90.00 120.00
Last column: nearest neighbours and their distance in Å.
Fractional positions:
1 Pb 0.0000 0.0000 0.7506  2 Pb 3.11-3.13, 6 Au 3.18
2 Pb 0.3333 0.6667 0.5000  9 Pb 3.20-3.57, 6 Au 3.51
3 Pb 0.6667 0.3333 0.5000  9 Pb 3.20-3.57, 6 Au 3.51
4 Au 0.0000 0.5000 0.0000  4 Au 2.78
5 Au 0.5000 0.0000 0.0000  4 Au 2.78
6 Pb 0.0000 0.0000 0.2494  2 Pb 3.11-3.13, 6 Au 3.18
7 Au 0.5000 0.5000 0.0000  4 Au 2.78

Calculated values
Total magnetic moment, μB per formula unit: 0.00
VASP energy, eV/atom: -3.98

=====

Here is MgZrTl2 after structural relaxation from Alexandria. Energies are from PBEsol.

a b c (Å): 3.2788 3.2788 10.0437
angles (deg): 80.61 80.61 60.00
Last column: nearest neighbours and their distance in Å.
Fractional positions:
1 Tl 0.7485 0.7485 0.7546  3 Mg 3.07, 3 Zr 3.15, 6 Tl 3.28
2 Zr 0.5000 0.5000 0.5000  6 Tl 3.15, 6 Zr 3.28
3 Tl 0.2515 0.2515 0.2454  3 Mg 3.07, 3 Zr 3.15, 6 Tl 3.28
4 Mg 0.0000 0.0000 0.0000  6 Tl 3.07, 6 Mg 3.28

Calculated values
Total magnetic moment, μB per formula unit: 0.00
VASP energy, eV/atom: -4.07

=====

Here is Li3InIr after structural relaxation from Alexandria. Energies are from PBEsol.

a b c (Å): 4.5525 4.5525 4.5525
angles (deg): 90.00 90.00 90.00
Last column: nearest neighbours and their distance in Å.
Fractional positions:
1 Li 0.0000 0.5000 0.0000  2 In 2.28
2 Ir 0.5000 0.5000 0.5000  12 Li 3.22
3 Li 0.5000 0.0000 0.0000  2 In 2.28
4 Li 0.0000 0.0000 0.5000  2 In 2.28
5 In 0.0000 0.0000 0.0000  6 Li 2.28

Calculated values
Total magnetic moment, μB per formula unit: 0.00
VASP energy, eV/atom: -2.70

=====

Here is RbLa3Be after structural relaxation from Alexandria. Energies are from PBEsol.

a b c (Å): 5.7026 5.7026 5.7026
angles (deg): 90.00 90.00 90.00
Last column: nearest neighbours and their distance in Å.
Fractional positions:
1 La 0.0000 0.5000 0.0000  2 Be 2.85
2 Rb 0.5000 0.5000 0.5000  12 La 4.03
3 La 0.0000 0.0000 0.5000  2 Be 2.85
4 Be 0.0000 0.0000 0.0000  6 La 2.85
5 La 0.5000 0.0000 0.0000  2 Be 2.85

Calculated values
Total magnetic moment, μB per formula unit: 0.00
VASP energy, eV/atom: -3.69